[1]
# La3Sm6Y2Th (PBE, optimized geometry)
data_La3Sm6Y2Th
_chemical_formula_sum 'La6 Sm12 Y4 Th2'
_symmetry_space_group_name_H-M 'C 1 2/m 1'
_symmetry_Int_Tables_number 12
_cell_length_a 6.3013
_cell_length_b 10.9096
_cell_length_c 12.1212
_cell_angle_alpha 90.00
_cell_angle_beta 99.96
_cell_angle_gamma 90.00
loop_
_symmetry_equiv_pos_as_xyz
'x,y,z'
'-x,-y,-z'
'-x,y,-z'
'x,-y,z'
'x+1/2,y+1/2,z'
'-x+1/2,-y+1/2,-z'
'-x+1/2,y+1/2,-z'
'x+1/2,-y+1/2,z'
loop_
_atom_site_label
_atom_site_type_symbol
_atom_site_fract_x
_atom_site_fract_y
_atom_site_fract_z
_atom_site_occupancy
La1 La 0.0000 0.0000 0.0000 1
La2 La 0.0000 0.3332 0.0000 1
Sm1 Sm 0.2461 0.3353 0.7444 1
Sm2 Sm 0.2480 0.5000 0.2551 1
Y1 Y 0.0000 0.1666 0.5000 1
Th1 Th 0.0000 0.5000 0.5000 1
# Total DFT energy (no corrections): -0.193 hartree per atom
# N(E_F): 1.514 states/eV/atom
# DFT formation energy: 0.31 eV per formula unit
# Volume: 821 Å³ per cell
# M_tot: 0.00 μB/cell

[2]
# LaSm2Y6Th2 (PBE, optimized geometry)
data_LaSm2Y6Th2
_chemical_formula_sum 'La2 Sm4 Y12 Th4'
_symmetry_space_group_name_H-M 'C 1 2/m 1'
_symmetry_Int_Tables_number 12
_cell_length_a 6.2833
_cell_length_b 10.7050
_cell_length_c 11.5066
_cell_angle_alpha 90.00
_cell_angle_beta 97.70
_cell_angle_gamma 90.00
loop_
_symmetry_equiv_pos_as_xyz
'x,y,z'
'-x,-y,-z'
'-x,y,-z'
'x,-y,z'
'x+1/2,y+1/2,z'
'-x+1/2,-y+1/2,-z'
'-x+1/2,y+1/2,-z'
'x+1/2,-y+1/2,z'
loop_
_atom_site_label
_atom_site_type_symbol
_atom_site_fract_x
_atom_site_fract_y
_atom_site_fract_z
_atom_site_occupancy
La1 La 0.0000 0.0000 0.0000 1
Sm1 Sm 0.0000 0.1752 0.5000 1
Y1 Y 0.2230 0.5000 0.2564 1
Y2 Y 0.2345 0.1699 0.2448 1
Th1 Th 0.0000 0.3363 0.0000 1
# Total DFT energy (no corrections): -0.220 hartree per atom
# N(E_F): 1.440 states/eV/atom
# DFT formation energy: 2.11 eV per formula unit
# Volume: 767 Å³ per cell
# M_tot: 0.01 μB/cell

[3]
# LaSmThZn (PBE, optimized geometry)
data_LaSmThZn
_chemical_formula_sum 'La1 Sm1 Th1 Zn1'
_symmetry_space_group_name_H-M 'P 4 m m'
_symmetry_Int_Tables_number 99
_cell_length_a 3.6404
_cell_length_b 3.6404
_cell_length_c 8.8059
_cell_angle_alpha 90.00
_cell_angle_beta 90.00
_cell_angle_gamma 90.00
loop_
_symmetry_equiv_pos_as_xyz
'x,y,z'
'-y,x,z'
'-x,-y,z'
'y,-x,z'
'-x,y,z'
'y,x,z'
'x,-y,z'
'-y,-x,z'
loop_
_atom_site_label
_atom_site_type_symbol
_atom_site_fract_x
_atom_site_fract_y
_atom_site_fract_z
_atom_site_occupancy
La1 La 0.0000 0.0000 0.0000 1
Sm1 Sm 0.0000 0.0000 0.4396 1
Th1 Th 0.5000 0.5000 0.7165 1
Zn1 Zn 0.5000 0.5000 0.2319 1
# Total DFT energy (no corrections): -0.174 hartree per atom
# N(E_F): 1.138 states/eV/atom
# DFT formation energy: -0.57 eV per formula unit
# Volume: 117 Å³ per cell
# M_tot: 0.00 μB/cell